4
Lattice="-3.407 -3.245 6.608 -1.576 -0.312 7.951 -4.933 0.132 6.438" Properties=species:S:1:pos:R:3 comment="BTeS2, optimized geometry, DFT GGA-PBE" raw_formation_energy_ev_per_atom=0.356 relative_energy_mev_per_atom=5 crystal_system=trigonal final_energy_ha_per_atom=-0.1530 magnetic_moment_mub_per_fu=0.0 rho_g_cm3=3.6 pbc="T T T"
S -9.205 -3.180 19.490
S -0.712 -0.246 1.507
Te -4.958 -1.713 10.498
B 0.000 0.000 0.000

=====

18
Lattice="5.952 0.362 0.350 2.256 8.830 0.455 2.256 0.741 8.811" Properties=species:S:1:pos:R:3 comment="B2TeS6, optimized geometry, DFT GGA-PBE" raw_formation_energy_ev_per_atom=-0.063 crystal_system=monoclinic final_energy_ha_per_atom=-0.1708 magnetic_moment_mub_per_fu=0.0 rho_g_cm3=2.5 pbc="T T T"
B 5.372 6.800 7.448
B 2.117 2.088 2.886
B 5.093 3.133 2.168
B 8.348 7.846 6.730
Te 3.744 1.675 8.027
Te 6.721 8.258 1.590
S 6.722 7.021 6.178
S 6.719 3.712 2.974
S 3.743 2.912 3.439
S 3.746 6.221 6.642
S 8.352 9.233 5.325
S 5.089 4.493 0.736
S 2.112 0.701 4.292
S 5.376 5.440 8.880
S 5.407 8.001 8.970
S 2.081 0.528 1.735
S 5.058 1.932 0.647
S 8.383 9.405 7.881

=====

8
Lattice="5.471 0.000 0.000 0.000 5.471 0.000 2.736 2.736 3.857" Properties=species:S:1:pos:R:3 comment="B2TeS, optimized geometry, DFT GGA-PBE" raw_formation_energy_ev_per_atom=0.771 relative_energy_mev_per_atom=0 crystal_system=tetragonal final_energy_ha_per_atom=-0.1611 magnetic_moment_mub_per_fu=0.0 rho_g_cm3=5.2 pbc="T T T"
S 2.736 2.736 0.000
S 2.736 5.471 1.929
Te 0.000 0.000 0.000
Te 5.471 2.736 1.929
B 3.763 1.368 0.964
B 1.708 4.104 0.964
B 4.104 4.444 2.893
B 6.839 6.499 2.893

=====

8
Lattice="5.991 0.000 0.000 0.000 5.991 0.000 2.995 2.995 4.185" Properties=species:S:1:pos:R:3 comment="BTeS2, optimized geometry, DFT GGA-PBE" raw_formation_energy_ev_per_atom=0.351 relative_energy_mev_per_atom=0 crystal_system=tetragonal final_energy_ha_per_atom=-0.1531 magnetic_moment_mub_per_fu=0.0 rho_g_cm3=4.5 pbc="T T T"
S 3.731 1.498 1.046
S 2.260 4.493 1.046
S 4.493 5.255 3.139
S 7.488 6.726 3.139
Te 0.000 0.000 0.000
Te 5.991 2.995 2.092
B 2.995 2.995 0.000
B 2.995 5.991 2.092